A) # CsAu2F7

An optimized crystal structure of CsAu2F7 (PBE, the Alexandria database).

The structure in CIF format:
```
data_CsAu2F7
_chemical_formula_sum 'Cs2 Au4 F14'
_symmetry_space_group_name_H-M 'C m m m'
_symmetry_Int_Tables_number 65
_symmetry_space_group_name_Hall '-C 2 2'
_cell_length_a 6.548
_cell_length_b 13.152
_cell_length_c 4.279
_cell_angle_alpha 90.00
_cell_angle_beta 90.00
_cell_angle_gamma 90.00
loop_
_atom_site_label
_atom_site_type_symbol
_atom_site_fract_x
_atom_site_fract_y
_atom_site_fract_z
_atom_site_occupancy
Cs1 Cs 0.000 0.000 0.000 1
Au1 Au 0.000 0.335 0.500 1
F1 F 0.000 0.335 0.000 1
F2 F 0.000 0.500 0.500 1
F3 F 0.195 0.155 0.500 1
```

***

B) # CsAu2F7

An optimized crystal structure of CsAu2F7 (PBE, the Alexandria database).

The structure in CIF format:
```
data_CsAu2F7
_chemical_formula_sum 'Cs4 Au8 F28'
_symmetry_space_group_name_H-M 'C 1 2/c 1'
_symmetry_Int_Tables_number 15
_cell_length_a 11.634
_cell_length_b 11.047
_cell_length_c 7.559
_cell_angle_alpha 90.00
_cell_angle_beta 123.17
_cell_angle_gamma 90.00
loop_
_symmetry_equiv_pos_as_xyz
'x,y,z'
'-x,-y,-z'
'-x,y,-z+1/2'
'x,-y,z+1/2'
'x+1/2,y+1/2,z'
'-x+1/2,-y+1/2,-z'
'-x+1/2,y+1/2,-z+1/2'
'x+1/2,-y+1/2,z+1/2'
loop_
_atom_site_label
_atom_site_type_symbol
_atom_site_fract_x
_atom_site_fract_y
_atom_site_fract_z
_atom_site_occupancy
Cs1 Cs 0.000 0.190 0.250 1
Au1 Au 0.185 0.401 0.855 1
F1 F 0.000 0.320 0.750 1
F2 F 0.135 0.032 0.043 1
F3 F 0.136 0.454 0.449 1
F4 F 0.234 0.254 0.765 1
```

***

Most stable structure among those shown: B).